Below is a relaxed LaSe3O12 crystal, with properties calculated at the GGA-PBEsol level.

Lattice parameters (Å, degrees): 9.5643 9.5643 6.4060 90.00 90.00 120.00
Last column: nearest neighbours and their distance in Å.
Space group P6_3/m (No. 176)
Asymmetric unit:
La 0.3333 0.6667 0.2500  9 O 2.46-2.52
Se 0.0952 0.3929 0.7500  4 O 1.66-1.67
O 0.0090 0.1935 0.7500  1 Se 1.66
O 0.0375 0.5439 0.2500  1 Se 1.66
O 0.2157 0.4642 0.5417  1 Se 1.67

## Properties
- spin magnetization (Bohr magnetons per cell) = 6.12
- E (eV per atom) = -5.751